Entry 1:
VASP calculation (GGA-PBE) on crystalline Nd4Cd2Bi at its relaxed geometry.

The space group is Cmmm (No. 65) and the conventional cell measures 7.072, 11.339 and 5.652 Å, with angles of 90.00, 90.00 and 90.00 degrees. The asymmetric unit holds Nd at (0.249, 0.000, 0.000), Nd at (0.250, 0.250, 0.500), Cd at (0.000, 0.262, 0.000) and Bi at (0.000, 0.000, 0.500).

The value obtained for the total energy is -3.853 eV per atom. Its spin magnetization is 0.000 μB per formula unit. The value obtained for the calculated density is 7.41 Mg/m³. Its density of states at the Fermi level is 19.8 states/eV/cell.

Entry 2:
VASP calculation (GGA-PBE) on crystalline Nd7Cd2Bi2 at its relaxed geometry.

The space group is Cmmm (No. 65) and the conventional cell measures 10.027, 11.662 and 6.753 Å, with angles of 90.00, 90.00 and 90.00 degrees. The asymmetric unit holds Nd at (0.000, 0.000, 0.000), Nd at (0.000, 0.500, 0.254), Nd at (0.250, 0.250, 0.261), Cd at (0.000, 0.272, 0.000) and Bi at (0.191, 0.000, 0.500).

The value obtained for the total energy is -4.001 eV per atom. Its spin magnetization is 0.000 μB per formula unit. The value obtained for the calculated density is 6.95 Mg/m³. Its density of states at the Fermi level is 31.5 states/eV/cell.

Entry 3:
VASP calculation (GGA-PBE) on crystalline Nd4Cd3Bi at its relaxed geometry.

The space group is P4/mmm (No. 123) and the conventional cell measures 3.992, 3.992 and 14.790 Å, with angles of 90.00, 90.00 and 90.00 degrees. The asymmetric unit holds Nd at (0.000, 0.000, 0.126), Nd at (0.000, 0.000, 0.374), Cd at (0.500, 0.500, 0.000), Cd at (0.500, 0.500, 0.245) and Bi at (0.500, 0.500, 0.500).

The value obtained for the total energy is -3.629 eV per atom. Its spin magnetization is 0.241 μB per formula unit. The value obtained for the calculated density is 7.91 Mg/m³. Its density of states at the Fermi level is 11.3 states/eV/cell.

| no. | calculated formation energy (kJ/mol of formula units) |
| --- | --- |
| 1 | -211 |
| 2 | -101 |
| 3 | -322 |